# 1
# SmCrS2

Crystalline SmCrS2 at its relaxed geometry (PBE, Alexandria via LeMat-Bulk).

Cell: 3.952 3.952 6.359 Å, 71.90 71.90 60.00°
Fractional positions:
Sm 0.500 0.500 0.500
S 0.259 0.259 0.224
S 0.741 0.741 0.776
Cr 0.000 0.000 0.000

The calculation puts the uncorrected formation energy at -1162 meV/atom. The value obtained for the electronic total energy is -6.812 eV/atom. The magnetization comes out at 4.2 μB/f.u. Its theoretical density is 5.5 Mg/m³.

# 2
# Sm4CrS7

Crystalline Sm4CrS7 at its relaxed geometry (PBE, Alexandria via LeMat-Bulk).

Cell: 10.519 10.519 6.644 Å, 90.00 90.00 120.00°
Fractional positions:
S 0.764 0.819 0.573
S 0.667 0.333 0.047
S 0.819 0.055 0.073
S 0.333 0.667 0.547
S 0.883 0.514 0.574
S 0.945 0.764 0.073
S 0.117 0.486 0.074
S 0.236 0.181 0.073
S 0.514 0.631 0.074
S 0.631 0.117 0.574
S 0.369 0.883 0.074
S 0.055 0.236 0.573
S 0.486 0.369 0.574
S 0.181 0.945 0.573
Sm 0.702 0.578 0.825
Sm 0.422 0.124 0.825
Sm 0.000 0.000 0.322
Sm 0.000 0.000 0.822
Sm 0.876 0.298 0.825
Sm 0.578 0.876 0.325
Sm 0.124 0.702 0.325
Sm 0.298 0.422 0.325
Cr 0.333 0.667 0.909
Cr 0.667 0.333 0.409

The calculation puts the uncorrected formation energy at -1676 meV/atom. The value obtained for the electronic total energy is -6.458 eV/atom. The magnetization comes out at 3.9 μB/f.u. Its theoretical density is 4.6 Mg/m³.